# 1
## CuTe2Se2 (PBE-GGA)

Data for a geometry-optimized CuTe2Se2 structure.

- excess energy over the best structure of this formula in the dataset (kcal/mol of atoms) = 2.75
- Fermi-level density of states (states/eV/f.u.) = 3.04
- uncorrected formation energy (eV per atom) = 0.107
- V (A^3/atom) = 25.15

Lattice parameters (Å, degrees): 6.663 6.663 5.664 90.00 90.00 90.00
Atoms (fractional coordinates):
Cu1 0.000 0.000 0.000
Cu2 0.500 0.500 0.000
Te1 0.227 0.273 0.500
Te2 0.273 0.773 0.500
Te3 0.727 0.227 0.500
Te4 0.773 0.727 0.500
Se1 0.177 0.323 0.000
Se2 0.323 0.823 0.000
Se3 0.677 0.177 0.000
Se4 0.823 0.677 0.000

=====

# 2
## CuTe2Se (PBE-GGA)

Data for a geometry-optimized CuTe2Se structure.

- Fermi-level density of states (states/eV/f.u.) = 2.98
- uncorrected formation energy (eV per atom) = 0.106
- V (A^3/atom) = 24.23

Lattice parameters (Å, degrees): 4.060 4.060 5.880 90.00 90.00 90.00
Atoms (fractional coordinates):
Cu1 0.000 0.000 0.000
Te1 0.000 0.000 0.494
Te2 0.500 0.500 0.996
Se1 0.500 0.500 0.497